Entry 1:
Density functional theory data (PBE-GGA) for an optimized crystal structure of TbPmTl2.

abc: 3.8462 3.8462 7.6671
angles: 90.00 90.00 90.00
Atoms (fractional coordinates):
Tb 0.0000 0.0000 0.0000
Pm 0.0000 0.0000 0.5000
Tl 0.5000 0.5000 0.2423
Tl 0.5000 0.5000 0.7577

Results
magnetization: 0.000 μB/f.u.
E: -3.90 eV per atom
theoretical density: 10.434 Mg/m³
energy of formation: -376.2 meV/atom
V: 113 Å³/cell
ΔE to the lowest computed polymorph: 0 meV per atom



Entry 2:
Density functional theory data (PBE-GGA) for an optimized crystal structure of SrSi2Br.

abc: 5.1708 5.1708 5.1708
angles: 120.08 120.08 89.86
Atoms (fractional coordinates):
Sr 0.0000 0.0000 0.0000
Si 0.5000 0.5000 0.0000
Si 0.7500 0.2500 0.5000
Br 0.2500 0.7500 0.5000

Results
magnetization: 0.000 μB/f.u.
ΔE_f (raw): -0.11 eV per formula unit
E: -3.58 eV per atom
theoretical density: 3.804 Mg/m³
V: 98 Å³/cell
ΔE to the lowest computed polymorph: 626 meV per atom



Entry 3:
Density functional theory data (PBE-GGA) for an optimized crystal structure of MoSe2BrN.

abc: 4.4197 4.4197 4.2974
angles: 90.00 90.00 90.00
Atoms (fractional coordinates):
Mo 0.0000 0.0000 0.0000
Se 0.0000 0.5000 0.5000
Se 0.5000 0.0000 0.5000
Br 0.5000 0.5000 0.0000
N 0.5000 0.5000 0.5000

Results
magnetization: 0.000 μB/f.u.
ΔE_f (raw): 6.69 eV per formula unit
E: -4.22 eV per atom
theoretical density: 6.880 Mg/m³
V: 84 Å³/cell
ΔE to the lowest computed polymorph: 1014 meV per atom



Entry 4:
Density functional theory data (PBE-GGA) for an optimized crystal structure of CuHg2Mo.

abc: 2.8748 4.2979 5.9965
angles: 90.00 103.67 90.00
Atoms (fractional coordinates):
Cu 0.0000 0.0000 0.0000
Hg 0.1351 0.5000 0.2709
Hg 0.7772 0.0000 0.5525
Mo 0.4073 0.5000 0.8168

Results
magnetization: 0.021 μB/f.u.
E: -3.35 eV per atom
theoretical density: 12.932 Mg/m³
energy of formation: 535.5 meV/atom
V: 72 Å³/cell
ΔE to the lowest computed polymorph: 131 meV per atom



Entry 5:
Density functional theory data (PBE-GGA) for an optimized crystal structure of ZrNi2SnW.

abc: 4.5068 4.5068 5.0305
angles: 90.00 90.00 90.00
Atoms (fractional coordinates):
Zr 0.0000 0.0000 0.0000
Ni 0.0000 0.5000 0.5000
Ni 0.5000 0.0000 0.5000
Sn 0.5000 0.5000 0.5000
W 0.5000 0.5000 0.0000

Results
magnetization: 0.000 μB/f.u.
E: -6.29 eV per atom
theoretical density: 8.307 Mg/m³
energy of formation: 1119.0 meV/atom
V: 102 Å³/cell



Entry 6:
Density functional theory data (PBE-GGA) for an optimized crystal structure of LaZnCd.

abc: 4.9491 3.5517 8.5103
angles: 90.00 90.00 90.00
Atoms (fractional coordinates):
La 0.2500 0.0000 0.2302
La 0.7500 0.0000 0.7698
Zn 0.2500 0.5000 0.9183
Zn 0.7500 0.5000 0.0817
Cd 0.2500 0.5000 0.5873
Cd 0.7500 0.5000 0.4127

Results
magnetization: 0.075 μB/f.u.
E: -2.72 eV per atom
theoretical density: 7.032 Mg/m³
energy of formation: -345.7 meV/atom
V: 150 Å³/cell



Entry 7:
Density functional theory data (PBE-GGA) for an optimized crystal structure of As2Ru.

abc: 5.8615 4.3882 7.7115
angles: 90.00 90.00 90.00
Atoms (fractional coordinates):
As 0.0783 0.2500 0.1584
As 0.1607 0.2500 0.5247
As 0.3393 0.7500 0.0247
As 0.4217 0.7500 0.6584
As 0.5783 0.2500 0.3416
As 0.6607 0.2500 0.9753
As 0.8393 0.7500 0.4753
As 0.9217 0.7500 0.8416
Ru 0.2294 0.7500 0.3432
Ru 0.2706 0.2500 0.8432
Ru 0.7294 0.7500 0.1568
Ru 0.7706 0.2500 0.6568

Results
magnetization: 0.000 μB/f.u.
E: -6.17 eV per atom
theoretical density: 8.402 Mg/m³
energy of formation: 21.8 meV/atom
V: 198 Å³/cell



Entry 8:
Density functional theory data (PBE-GGA) for an optimized crystal structure of Ti2Nb2Al7.

abc: 5.1093 5.1093 9.1883
angles: 90.00 90.00 119.39
Atoms (fractional coordinates):
Ti 0.2465 0.2465 0.0000
Ti 0.7535 0.7535 0.0000
Nb 0.3249 0.6751 0.5000
Nb 0.6751 0.3249 0.5000
Al 0.0000 0.0000 0.5000
Al 0.0000 0.5000 0.2212
Al 0.0000 0.5000 0.7788
Al 0.5000 0.0000 0.2212
Al 0.5000 0.0000 0.7788
Al 0.5000 0.5000 0.2622
Al 0.5000 0.5000 0.7378

Results
magnetization: 0.000 μB/f.u.
E: -5.49 eV per atom
theoretical density: 3.738 Mg/m³
energy of formation: 160.6 meV/atom
V: 209 Å³/cell



Entry 9:
Density functional theory data (PBE-GGA) for an optimized crystal structure of Tb5PaBi6.

abc: 7.7738 7.7738 7.7683
angles: 99.59 99.59 120.02
Atoms (fractional coordinates):
Tb 0.0000 0.0000 0.0000
Tb 0.1663 0.8337 0.5000
Tb 0.3321 0.6679 0.0000
Tb 0.6679 0.3321 0.0000
Tb 0.8337 0.1663 0.5000
Pa 0.5000 0.5000 0.5000
Bi 0.0858 0.4171 0.2507
Bi 0.2523 0.2523 0.7490
Bi 0.4171 0.0858 0.2507
Bi 0.5829 0.9142 0.7493
Bi 0.7477 0.7477 0.2510
Bi 0.9142 0.5829 0.7493

Results
magnetization: 0.695 μB/f.u.
E: -5.40 eV per atom
theoretical density: 9.877 Mg/m³
energy of formation: -743.5 meV/atom
V: 383 Å³/cell



Entry 10:
Density functional theory data (PBE-GGA) for an optimized crystal structure of ScGaRe2Cl.

abc: 4.9646 4.9646 4.8391
angles: 90.00 90.00 90.00
Atoms (fractional coordinates):
Sc 0.0000 0.0000 0.0000
Ga 0.5000 0.5000 0.5000
Re 0.0000 0.5000 0.0000
Re 0.5000 0.0000 0.0000
Cl 0.0000 0.0000 0.5000

Results
magnetization: 5.092 μB/f.u.
ΔE_f (raw): 8.48 eV per formula unit
E: -5.52 eV per atom
theoretical density: 7.275 Mg/m³
V: 119 Å³/cell



Entry 11:
Density functional theory data (PBE-GGA) for an optimized crystal structure of CaTiH2Rh.

abc: 3.7027 3.7027 6.0905
angles: 90.00 90.00 90.00
Atoms (fractional coordinates):
Ca 0.0000 0.0000 0.0000
Ti 0.0000 0.0000 0.5000
H 0.0000 0.5000 0.5000
H 0.5000 0.0000 0.5000
Rh 0.5000 0.5000 0.0000

Results
magnetization: 1.192 μB/f.u.
E: -4.25 eV per atom
theoretical density: 3.835 Mg/m³
V: 84 Å³/cell



Entry 12:
Density functional theory data (PBE-GGA) for an optimized crystal structure of Nd4Co.

abc: 7.7233 7.7233 7.7233
angles: 60.00 60.00 60.00
Atoms (fractional coordinates):
Nd 0.2194 0.7602 0.7602
Nd 0.2398 0.2398 0.2398
Nd 0.2398 0.2398 0.7806
Nd 0.2398 0.7806 0.2398
Nd 0.7602 0.2194 0.7602
Nd 0.7602 0.7602 0.2194
Nd 0.7602 0.7602 0.7602
Nd 0.7806 0.2398 0.2398
Co 0.3750 0.3750 0.3750
Co 0.6250 0.6250 0.6250

Results
magnetization: 0.000 μB/f.u.
E: -4.94 eV per atom
theoretical density: 6.483 Mg/m³
energy of formation: 300.4 meV/atom
V: 326 Å³/cell
ΔE to the lowest computed polymorph: 282 meV per atom